No. 1
DFT (PBE) results for SrV3Br after structural relaxation.

As for the uncorrected formation energy: 2.3266 eV per atom. The energy above the most stable polymorph in this dataset is 1313 meV/atom. The density of states at the Fermi level is 12.855 states/eV/cell.

The structure belongs to space group Pm-3m (No. 221); the cell edges are 5.802, 5.802 and 5.802 Å and the angles 90.00°, 90.00° and 90.00°. The inequivalent atoms are Sr at (0.000, 0.000, 0.000), V at (0.000, 0.000, 0.500) and Br at (0.500, 0.500, 0.500).

=====

No. 2
DFT (PBE) results for Hf3SbCl after structural relaxation.

As for the uncorrected formation energy: 0.1565 eV per atom. The energy above the most stable polymorph in this dataset is 0 meV/atom. The density of states at the Fermi level is 4.614 states/eV/cell.

The structure belongs to space group Pm-3m (No. 221); the cell edges are 4.750, 4.750 and 4.750 Å and the angles 90.00°, 90.00° and 90.00°. The inequivalent atoms are Hf at (0.000, 0.000, 0.500), Sb at (0.500, 0.500, 0.500) and Cl at (0.000, 0.000, 0.000).

=====

No. 3
DFT (PBE) results for Tl2AgPt after structural relaxation.

For the formation energy, the calculation gives 0.0827 eV/atom. The energy above the most stable polymorph in this dataset is 19 meV/atom. The density of states at the Fermi level is 3.356 states/eV/cell.

The structure belongs to space group Imm2 (No. 44); the cell edges are 3.176, 4.695 and 12.153 Å and the angles 90.00°, 90.00° and 90.00°. The inequivalent atoms are Tl at (0.000, 0.000, 0.000), Tl at (0.000, 0.500, 0.216), Ag at (0.000, 0.000, 0.408) and Pt at (0.000, 0.500, 0.711).

=====

No. 4
DFT (PBE) results for TbPrBi2 after structural relaxation.

For the formation energy, the calculation gives -0.6579 eV/atom. The energy above the most stable polymorph in this dataset is 259 meV/atom. The density of states at the Fermi level is 4.372 states/eV/cell.

The structure belongs to space group P4/mmm (No. 123); the cell edges are 3.855, 3.855 and 8.294 Å and the angles 90.00°, 90.00° and 90.00°. The inequivalent atoms are Tb at (0.000, 0.000, 0.000), Pr at (0.000, 0.000, 0.500) and Bi at (0.500, 0.500, 0.240).

=====

No. 5
DFT (PBE) results for BaEuRhAu after structural relaxation.

For the formation energy, the calculation gives -0.3781 eV/atom. The density of states at the Fermi level is 56.890 states/eV/cell.

The structure belongs to space group F-43m (No. 216); the cell edges are 7.560, 7.560 and 7.560 Å and the angles 90.00°, 90.00° and 90.00°. The inequivalent atoms are Ba at (0.000, 0.000, 0.000), Eu at (0.000, 0.000, 0.500), Rh at (0.250, 0.250, 0.250) and Au at (0.250, 0.250, 0.750).

=====

No. 6
DFT (PBE) results for PrNd5Mg4 after structural relaxation.

For the formation energy, the calculation gives -0.0808 eV/atom. The density of states at the Fermi level is 11.388 states/eV/cell.

The structure belongs to space group P4/mmm (No. 123); the cell edges are 3.840, 3.840 and 20.883 Å and the angles 90.00°, 90.00° and 90.00°. The inequivalent atoms are Pr at (0.000, 0.000, 0.000), Nd at (0.500, 0.500, 0.121), Nd at (0.500, 0.500, 0.312), Nd at (0.500, 0.500, 0.500), Mg at (0.000, 0.000, 0.217) and Mg at (0.000, 0.000, 0.406).

=====

What did the first record say?
DFT (PBE) results for SrV3Br after structural relaxation.

As for the uncorrected formation energy: 2.3266 eV per atom. The energy above the most stable polymorph in this dataset is 1313 meV/atom. The density of states at the Fermi level is 12.855 states/eV/cell.

The structure belongs to space group Pm-3m (No. 221); the cell edges are 5.802, 5.802 and 5.802 Å and the angles 90.00°, 90.00° and 90.00°. The inequivalent atoms are Sr at (0.000, 0.000, 0.000), V at (0.000, 0.000, 0.500) and Br at (0.500, 0.500, 0.500).

=====

> Which formula does entry 5 have?

BaEuRhAu